Entry 1:
## K3Rb3PbI8 (PBE)

Data for K3Rb3PbI8 after structural relaxation.

```
K3Rb3PbI8
1.0
10.2217 0.0000 0.0000
-5.1109 8.8563 -0.0291
0.0000 -5.8726 8.5527
K Rb Pb I
3 3 1 8
direct
0.5000 0.0000 0.5000
0.5000 0.5000 0.5000
0.0000 0.5000 0.5000
0.0000 0.0000 0.0000
0.0000 0.5000 0.0000
0.5000 0.5000 0.0000
0.0000 0.0000 0.5000
0.2539 0.5078 0.2619
0.7461 0.4922 0.7381
0.7738 0.5477 0.2806
0.2262 0.4523 0.7194
0.7739 0.0070 0.2809
0.2261 0.9930 0.7191
0.2331 0.0070 0.2809
0.7669 0.9930 0.7191
```



Entry 2:
## KRbPb2I6 (PBE)

Data for KRbPb2I6 after structural relaxation.

```
KRbPb2I6
1.0
8.7215 0.0000 0.0008
4.3607 7.5530 0.0005
4.3609 2.5180 7.4067
K Rb Pb I
1 1 2 6
direct
0.3051 0.3051 0.0847
0.7981 0.7981 0.6058
0.5134 0.5134 0.4597
0.0111 0.0111 0.9668
0.6514 0.2480 0.2315
0.2479 0.8692 0.2315
0.8692 0.6513 0.2315
0.3546 0.7445 0.7346
0.7446 0.1663 0.7345
0.1662 0.3546 0.7346
```



Entry 3:
## KRb2PbI6 (PBE)

Data for KRb2PbI6 after structural relaxation.

```
KRb2PbI6
1.0
9.0995 0.0000 0.0000
0.0000 9.0995 0.0000
4.5498 4.5498 6.4342
Pb I K Rb
1 6 1 2
direct
0.0000 0.0000 0.0000
0.2395 0.2395 0.5210
0.7605 0.7605 0.4790
0.2395 0.2395 0.0000
0.7605 0.7605 0.0000
0.7605 0.2395 0.0000
0.2395 0.7605 0.0000
0.5000 0.5000 0.0000
0.7500 0.2500 0.5000
0.2500 0.7500 0.5000
```



Entry 4:
## KPbSI (PBE)

Data for KPbSI after structural relaxation.

```
KPbSI
1.0
-4.1483 -1.0385 0.8707
2.2056 -2.2028 -3.0552
4.6273 -4.0588 6.2671
K Pb S I
1 1 1 1
direct
0.1147 0.9553 0.0853
0.5044 0.1501 0.6699
0.2858 0.5408 0.8421
0.9729 0.3846 0.3724
```



Entry 5:
## KPbSI2 (PBE)

Data for KPbSI2 after structural relaxation.

```
KPbSI2
1.0
-1.2785 -1.4396 5.8977
3.9604 -3.8935 -0.0919
4.1579 4.1840 1.9226
Pb I K S
1 2 1 1
direct
0.5000 0.5000 0.5000
0.0000 0.0000 0.5000
0.5000 0.0000 0.0000
0.0000 0.0000 0.0000
0.0000 0.5000 0.0000
```



Entry 6:
## KSbPb2I8 (PBE)

Data for KSbPb2I8 after structural relaxation.

```
KSbPb2I8
1.0
-1.4864 -4.8771 5.8935
5.2222 -4.6611 -2.3843
6.5710 4.5676 5.4415
K Sb Pb I
1 1 2 8
direct
0.0000 0.0000 0.5000
0.0000 0.0000 0.0000
0.5001 0.4999 0.7523
0.4999 0.5001 0.2477
0.1549 0.7548 0.2214
0.6748 0.7657 0.9998
0.8446 0.2448 0.2212
0.8451 0.2452 0.7786
0.3252 0.2343 0.0002
0.1554 0.7552 0.7788
0.6386 0.7302 0.4998
0.3614 0.2698 0.5002
```



Entry 7:
KSb2PbI | Alexandria | PBE | optimized geometry; polymorph energy (0 for the lowest one) = 3.34 eV/f.u.
1.0
-3.5820 -2.6691 3.9651
-0.8457 -4.5229 -3.8086
4.7925 -2.8987 2.3782
Pb I K Sb
1 1 1 2
direct
0.5000 0.5000 0.5000
0.0000 0.0000 0.5000
0.0000 0.0000 0.0000
0.0000 0.5000 0.0000
0.5000 0.0000 0.0000



Entry 8:
KSb2PbI | Alexandria | PBE | optimized geometry; polymorph energy (0 for the lowest one) = 0.00 eV/f.u.
1.0
-1.4113 -5.6671 0.7955
-0.7632 -0.6257 -5.8110
6.4165 -1.6906 -0.6607
Pb I K Sb
1 1 1 2
direct
0.0000 0.0000 0.0000
0.0000 0.0000 0.5000
0.5000 0.5000 0.5000
0.0000 0.5000 0.0000
0.5000 0.0000 0.0000



Entry 9:
## KPb2SeI (PBE)

Data for KPb2SeI after structural relaxation.

```
KPb2SeI
1.0
5.7524 0.0000 0.0000
0.0000 6.4820 0.0000
0.0000 0.0000 5.7524
Pb I K Se
2 1 1 1
direct
0.0000 0.0000 0.5000
0.5000 0.0000 0.0000
0.5000 0.5000 0.5000
0.0000 0.5000 0.0000
0.0000 0.0000 0.0000
```



Entry 10:
## KPbSeI (PBE)

Data for KPbSeI after structural relaxation.

```
KPbSeI
1.0
-4.3975 -0.8852 -0.6981
-1.8236 -3.8393 1.5947
-3.9630 2.2508 7.3488
K Pb Se I
1 1 1 1
direct
0.7420 0.7420 0.7740
0.2644 0.2644 0.2068
0.9903 0.9903 0.0291
0.5033 0.5033 0.4901
```



Entry 11:
## KSmPbI6 (PBE)

Data for KSmPbI6 after structural relaxation.

```
KSmPbI6
1.0
-0.8589 6.3384 -5.0660
2.8741 -7.1032 -2.8036
-14.4943 -4.5753 -3.2670
K Sm Pb I
2 2 2 12
direct
0.0000 0.0000 0.0000
0.0000 0.0000 0.5000
0.6667 0.3333 0.2500
0.3333 0.6667 0.7500
0.3333 0.6667 0.2500
0.6667 0.3333 0.7500
0.6430 0.6294 0.1331
0.9864 0.3570 0.1331
0.3570 0.9864 0.6331
0.0136 0.6430 0.8669
0.3706 0.3570 0.3669
0.9864 0.6294 0.3669
0.6294 0.9864 0.8669
0.6430 0.0136 0.3669
0.0136 0.3706 0.6331
0.3706 0.0136 0.1331
0.6294 0.6430 0.6331
0.3570 0.3706 0.8669
```



Entry 12:
## KSmPb2I8 (PBE)

Data for KSmPb2I8 after structural relaxation.

```
KSmPb2I8
1.0
-3.5150 -1.0308 6.9259
6.5608 -0.7244 3.3483
0.2691 9.6289 1.5729
K Sm Pb I
1 1 2 8
direct
0.0000 0.0000 0.5000
0.0000 0.0000 0.0000
0.5001 0.4999 0.7488
0.4999 0.5001 0.2512
0.1550 0.7528 0.2244
0.6710 0.7610 0.9998
0.8445 0.2467 0.2242
0.8450 0.2472 0.7756
0.3290 0.2390 0.0002
0.1555 0.7533 0.7758
0.6371 0.7328 0.4998
0.3629 0.2672 0.5002
```



| no. | uncorrected formation energy (eV/atom) |
| --- | --- |
| 1 | -1.3292 |
| 2 | -0.9720 |
| 3 | -0.9538 |
| 4 | -0.8993 |
| 5 | 0.1196 |
| 6 | -0.6368 |
| 7 | 0.7650 |
| 8 | 0.0977 |
| 9 | -0.2963 |
| 10 | -0.9552 |
| 11 | -1.1761 |
| 12 | -1.0015 |